Here is a geometry-optimized NdVGe3 structure from Alexandria via LeMat-Bulk. Energies are from GGA-PBE.

The structure in POSCAR format:
```
NdVGe3
1.0
-5.1563 1.5080 3.2246
5.2066 -1.7097 3.0377
1.6678 5.3620 0.1593
V Ge Nd
2 6 2
Direct
0.0000 0.0000 0.0000
0.0000 0.0000 0.5000
0.8052 0.6104 0.7500
0.8052 0.1948 0.7500
0.6104 0.8052 0.2500
0.1948 0.3896 0.2500
0.3896 0.1948 0.7500
0.1948 0.8052 0.2500
0.3333 0.6667 0.7500
0.6667 0.3333 0.2500
```

Summary:
Energy relative to the elements   -48.70 kJ/mol of atoms
Density of states at the Fermi level   5.686 states/eV per cell
E_tot   -30.26 eV/f.u.